VASP calculation (PBE-GGA) on an optimized crystal structure of TcRuO6.

a = 5.3405 Å, b = 5.3405 Å, c = 13.0838 Å
α = 90.00°, β = 90.00°, γ = 120.00°
Space group R-3 (No. 148, hexagonal axes)
Inequivalent atoms, fractional coordinates:
Tc: 0.0000 0.0000 0.0000 [3 per cell]
Ru: 0.0000 0.0000 0.5000 [3 per cell]
O: 0.0014 0.5038 0.7497 [18 per cell]

M_tot (μB/f.u.): 0.00
Formation energy without anion corrections (meV/atom): -980.5